# 1
# SmNiAs3

A relaxed SmNiAs3 crystal (GGA-PBE, Alexandria).

Unit cell a=5.6235 b=5.6396 c=12.0977 alpha=90.00 beta=90.00 gamma=90.00
Closest atoms and distances in Å follow each position.
Sites, in units of the cell vectors:
As1 0.0000 0.7500 0.5016  4 As 2.81-2.82, 4 Sm 3.05-3.08
As2 0.7500 0.3860 0.9410  4 Ni 2.40-2.51
As3 0.5000 0.2500 0.4984  4 As 2.81-2.82, 4 Sm 3.05-3.08
As4 0.2500 0.9949 0.2127  2 Ni 2.51
Sm1 0.2500 0.0004 0.6927  9 As 3.01-3.08, 2 Ni 3.31
Ni1 0.5000 0.2500 0.0883  6 As 2.40-2.51
Ni2 0.5000 0.7500 0.9117  6 As 2.40-2.51
Sm2 0.7500 0.4996 0.6927  9 As 3.01-3.08, 2 Ni 3.31
As5 0.2500 0.6140 0.0590  4 Ni 2.40-2.51
As6 0.5000 0.7500 0.5016  4 As 2.81-2.82, 4 Sm 3.05-3.08
As7 0.7500 0.8860 0.0590  4 Ni 2.40-2.51
Ni3 0.0000 0.7500 0.9117  6 As 2.40-2.51
Sm3 0.7500 0.9996 0.3073  9 As 3.01-3.08, 2 Ni 3.31
As8 0.2500 0.4949 0.7873  2 Ni 2.51
As9 0.7500 0.0051 0.7873  2 Ni 2.51
Sm4 0.2500 0.5004 0.3073  9 As 3.01-3.08, 2 Ni 3.31
As10 0.0000 0.2500 0.4984  4 As 2.81-2.82, 4 Sm 3.05-3.08
As11 0.2500 0.1140 0.9410  4 Ni 2.40-2.51
Ni4 0.0000 0.2500 0.0883  6 As 2.40-2.51
As12 0.7500 0.5051 0.2127  2 Ni 2.51

* DFT total energy: -5.568 eV/atom
* crystal system: orthorhombic
* DOS(E_F): 0.46 states/eV per atom


# 2
# CaLa2Hf

A relaxed CaLa2Hf crystal (GGA-PBE, Alexandria).

Unit cell a=3.5713 b=3.5713 c=10.4747 alpha=90.00 beta=90.00 gamma=90.00
Closest atoms and distances in Å follow each position.
Sites, in units of the cell vectors:
Ca1 0.5000 0.5000 0.5000  4 Ca 3.57, 8 La 3.90
La1 0.0000 0.0000 0.2161  4 Hf 3.39, 4 La 3.57
La2 0.0000 0.0000 0.7839  4 Hf 3.39, 4 La 3.57
Hf1 0.5000 0.5000 0.0000  8 La 3.39, 4 Hf 3.57

* DFT total energy: -5.298 eV/atom
* crystal system: tetragonal
* excess energy over the best structure of this formula in the dataset: 0 meV/atom
* DOS(E_F): 1.63 states/eV per atom


# 3
# Sb2IrSI

A relaxed Sb2IrSI crystal (GGA-PBE, Alexandria).

Unit cell a=5.1411 b=5.1411 c=5.4535 alpha=90.00 beta=90.00 gamma=90.00
Closest atoms and distances in Å follow each position.
Sites, in units of the cell vectors:
I1 0.0000 0.0000 0.5000  2 Ir 2.73
Ir1 0.0000 0.0000 0.0000  4 Sb 2.57, 2 I 2.73
Sb1 0.0000 0.5000 0.0000  2 Ir 2.57
Sb2 0.5000 0.0000 0.0000  2 Ir 2.57
S1 0.5000 0.5000 0.5000  4 I 3.64, 8 Sb 3.75

* DFT total energy: -3.902 eV/atom
* crystal system: tetragonal
* raw formation energy: 0.65 eV per atom
* excess energy over the best structure of this formula in the dataset: 0 meV/atom
* DOS(E_F): 1.35 states/eV per atom


# 4
# PrNd2NpAs4

A relaxed PrNd2NpAs4 crystal (GGA-PBE, Alexandria).

Unit cell a=4.2333 b=7.3434 c=7.3416 alpha=109.32 beta=90.00 gamma=90.00
Closest atoms and distances in Å follow each position.
Sites, in units of the cell vectors:
Np1 0.5000 0.5000 0.0000  6 As 2.93-2.95
Nd1 0.0000 0.5000 0.5000  6 As 2.99
As1 0.0000 0.7405 0.2419  2 Np 2.95, 3 Nd 2.99-3.05, 1 Pr 3.00
As2 0.5000 0.7429 0.7542  1 Np 2.93, 3 Nd 2.99-3.06, 2 Pr 3.01
As3 0.5000 0.2571 0.2458  1 Np 2.93, 3 Nd 2.99-3.06, 2 Pr 3.01
Nd2 0.5000 0.0000 0.5000  6 As 3.05-3.06
As4 0.0000 0.2595 0.7581  2 Np 2.95, 3 Nd 2.99-3.05, 1 Pr 3.00
Pr1 0.0000 0.0000 0.0000  6 As 3.00-3.01

* DFT total energy: -7.019 eV/atom
* crystal system: monoclinic
* DOS(E_F): 1.51 states/eV per atom


# 5
# TbPmSi2Pt2

A relaxed TbPmSi2Pt2 crystal (GGA-PBE, Alexandria).

Unit cell a=4.1640 b=4.1640 c=8.2986 alpha=90.00 beta=90.00 gamma=120.00
Closest atoms and distances in Å follow each position.
Sites, in units of the cell vectors:
Pm1 0.0000 0.0000 0.0000  6 Si 3.19, 6 Pt 3.22
Si1 0.3333 0.6667 0.7465  3 Pt 2.40
Si2 0.6667 0.3333 0.2535  3 Pt 2.40
Tb1 0.0000 0.0000 0.5000  6 Pt 3.13, 6 Si 3.16
Pt1 0.3333 0.6667 0.2582  3 Si 2.40
Pt2 0.6667 0.3333 0.7418  3 Si 2.40

* DFT total energy: -6.525 eV/atom
* crystal system: trigonal
* raw formation energy: -1.14 eV per atom
* DOS(E_F): 0.77 states/eV per atom


# 6
# SrNdCuSe3

A relaxed SrNdCuSe3 crystal (GGA-PBE, Alexandria).

Unit cell a=4.1555 b=8.7652 c=9.1460 alpha=102.55 beta=90.00 gamma=90.00
Closest atoms and distances in Å follow each position.
Sites, in units of the cell vectors:
Se1 0.7500 0.9015 0.1388  1 Cu 2.51
Nd1 0.7500 0.3278 0.8277  6 Se 2.91-3.04
Se2 0.7500 0.4295 0.1669  3 Nd 2.97-3.04, 2 Sr 3.17
Sr1 0.2500 0.1811 0.2353  7 Se 3.17-3.34, 1 Cu 3.48
Se3 0.7500 0.2127 0.5047  3 Cu 2.52-2.55
Cu1 0.7500 0.9190 0.4169  4 Se 2.51-2.55, 2 Cu 2.78
Sr2 0.7500 0.8189 0.7647  7 Se 3.17-3.34, 1 Cu 3.48
Se4 0.2500 0.7873 0.4953  3 Cu 2.52-2.55
Se5 0.2500 0.0985 0.8612  1 Cu 2.51
Cu2 0.2500 0.0810 0.5831  4 Se 2.51-2.55, 2 Cu 2.78
Nd2 0.2500 0.6722 0.1723  6 Se 2.91-3.04
Se6 0.2500 0.5705 0.8331  3 Nd 2.97-3.04, 2 Sr 3.17

* DFT total energy: -5.029 eV/atom
* crystal system: monoclinic
* raw formation energy: -1.53 eV per atom


# 7
# HfTlNF2

A relaxed HfTlNF2 crystal (GGA-PBE, Alexandria).

Unit cell a=4.3317 b=4.3317 c=4.1886 alpha=90.00 beta=90.00 gamma=90.00
Closest atoms and distances in Å follow each position.
Sites, in units of the cell vectors:
F1 0.5000 0.0000 0.0000  2 Hf 2.17
Hf1 0.0000 0.0000 0.0000  2 N 2.09, 4 F 2.17
N1 0.0000 0.0000 0.5000  2 Hf 2.09
Tl1 0.5000 0.5000 0.5000  8 F 3.01, 4 N 3.06
F2 0.0000 0.5000 0.0000  2 Hf 2.17

* DFT total energy: -6.787 eV/atom
* crystal system: tetragonal
* raw formation energy: -1.91 eV per atom
* excess energy over the best structure of this formula in the dataset: 0 meV/atom
* DOS(E_F): 0.08 states/eV per atom


# 8
# In3GaCo

A relaxed In3GaCo crystal (GGA-PBE, Alexandria).

Unit cell a=4.9504 b=4.9504 c=4.9504 alpha=90.00 beta=90.00 gamma=90.00
Closest atoms and distances in Å follow each position.
Sites, in units of the cell vectors:
In1 0.5000 0.0000 0.0000  2 Co 2.48
Co1 0.0000 0.0000 0.0000  6 In 2.48
In2 0.0000 0.0000 0.5000  2 Co 2.48
In3 0.0000 0.5000 0.0000  2 Co 2.48
Ga1 0.5000 0.5000 0.5000  12 In 3.50

* DFT total energy: -3.562 eV/atom
* crystal system: cubic
* excess energy over the best structure of this formula in the dataset: 0 meV/atom
* DOS(E_F): 0.55 states/eV per atom


# 9
# TmMnAgPd

A relaxed TmMnAgPd crystal (GGA-PBE, Alexandria).

Unit cell a=4.7423 b=4.7423 c=4.7423 alpha=60.00 beta=60.00 gamma=60.00
Closest atoms and distances in Å follow each position.
Sites, in units of the cell vectors:
Ag1 0.7500 0.7500 0.7500  4 Mn 2.90, 4 Tm 2.90
Pd1 0.2500 0.2500 0.2500  4 Tm 2.90, 4 Mn 2.90
Mn1 0.0000 0.0000 0.0000  4 Ag 2.90, 4 Pd 2.90
Tm1 0.5000 0.5000 0.5000  4 Ag 2.90, 4 Pd 2.90

* DFT total energy: -5.704 eV/atom
* crystal system: cubic
* DOS(E_F): 0.61 states/eV per atom


# 10
# CoSbRu

A relaxed CoSbRu crystal (GGA-PBE, Alexandria).

Unit cell a=4.2341 b=4.2341 c=4.2341 alpha=60.00 beta=60.00 gamma=60.00
Closest atoms and distances in Å follow each position.
Sites, in units of the cell vectors:
Sb1 0.0000 0.0000 0.0000  4 Ru 2.59
Co1 0.5000 0.5000 0.5000  4 Ru 2.59
Ru1 0.7500 0.7500 0.7500  4 Co 2.59, 4 Sb 2.59

* DFT total energy: -6.654 eV/atom
* crystal system: cubic
* raw formation energy: 0.18 eV per atom
* excess energy over the best structure of this formula in the dataset: 64 meV/atom
* DOS(E_F): 1.14 states/eV per atom


# 11
# K2CuTe2H

A relaxed K2CuTe2H crystal (GGA-PBE, Alexandria).

Unit cell a=6.6528 b=6.9026 c=8.6514 alpha=113.51 beta=112.61 gamma=90.00
Closest atoms and distances in Å follow each position.
Sites, in units of the cell vectors:
Te1 0.4108 0.6493 0.8217  2 Cu 2.67, 2 H 2.77
K1 0.1532 0.3699 0.3064  2 H 3.14, 2 Cu 3.39, 4 Te 3.43-3.50
H1 0.7500 0.0000 0.0000  4 Te 2.77
H2 0.2500 0.0000 0.0000  4 Te 2.77
Te2 0.9108 0.1723 0.8217  2 Cu 2.67, 2 H 2.77
K2 0.8468 0.6301 0.6936  2 H 3.14, 2 Cu 3.39, 4 Te 3.43-3.50
Te3 0.0892 0.8277 0.1783  2 Cu 2.67, 2 H 2.77
Cu1 0.7500 0.5000 0.0000  4 Te 2.67
Te4 0.5892 0.3507 0.1783  2 Cu 2.67, 2 H 2.77
Cu2 0.2500 0.5000 0.0000  4 Te 2.67
K3 0.6532 0.9365 0.3064  2 H 3.14, 2 Cu 3.39, 4 Te 3.43-3.50
K4 0.3468 0.0635 0.6936  2 H 3.14, 2 Cu 3.39, 4 Te 3.43-3.50

* DFT total energy: -2.904 eV/atom
* crystal system: orthorhombic
* DOS(E_F): 0.66 states/eV per atom


# 12
# Er2PuHg

A relaxed Er2PuHg crystal (GGA-PBE, Alexandria).

Unit cell a=3.5829 b=5.3921 c=5.3921 alpha=90.00 beta=90.00 gamma=90.00
Closest atoms and distances in Å follow each position.
Sites, in units of the cell vectors:
Pu1 0.5000 0.0000 0.0000  8 Er 3.24, 2 Pu 3.58
Er1 0.0000 0.0000 0.5000  4 Hg 3.24, 4 Pu 3.24, 2 Er 3.58
Er2 0.0000 0.5000 0.0000  4 Pu 3.24, 4 Hg 3.24, 2 Er 3.58
Hg1 0.5000 0.5000 0.5000  8 Er 3.24, 2 Hg 3.58

* DFT total energy: -6.015 eV/atom
* crystal system: tetragonal
* excess energy over the best structure of this formula in the dataset: 69 meV/atom
* DOS(E_F): 2.22 states/eV per atom